A plane-wave DFT calculation with PBE-GGA was carried out for an optimized crystal structure of LiTi8O16.

```
LiTi8O16
1.0
5.269 0.000 0.002
-0.007 5.534 -0.002
-0.211 -0.071 9.267
Ti O Li
8 16 1
direct
0.627 0.601 0.870
0.631 0.083 0.634
0.369 0.917 0.366
0.103 0.389 0.639
0.897 0.611 0.361
0.137 0.891 0.879
0.863 0.109 0.121
0.373 0.399 0.130
0.046 0.394 0.228
0.961 0.104 0.730
0.680 0.349 0.008
0.954 0.606 0.772
0.320 0.651 0.992
0.182 0.149 0.011
0.818 0.851 0.989
0.180 0.653 0.492
0.820 0.347 0.508
0.328 0.162 0.505
0.460 0.402 0.722
0.540 0.598 0.278
0.039 0.896 0.270
0.546 0.104 0.229
0.454 0.896 0.771
0.672 0.838 0.495
0.500 0.500 0.500
```

Theoretical density = 3.97 g/cm³
Total magnetization = 0.0 μB/f.u.
SG = P-1, No. 2
Offset from the most stable computed form = 4 meV per atom
Uncorrected energy = -8.72 eV/atom

=====

A plane-wave DFT calculation with PBE-GGA was carried out for an optimized crystal structure of Ce2TmCrN5.

```
Ce2TmCrN5
1.0
-0.195 3.262 0.878
-1.108 -3.456 6.072
10.191 0.093 1.912
N Ce Cr Tm
10 4 2 2
direct
0.511 0.023 0.297
0.035 0.070 0.033
0.489 0.977 0.797
0.965 0.930 0.533
0.691 0.383 0.853
0.628 0.257 0.510
0.713 0.426 0.162
0.309 0.617 0.353
0.372 0.743 0.010
0.287 0.574 0.662
0.119 0.239 0.700
0.881 0.761 0.200
0.144 0.288 0.296
0.856 0.712 0.796
0.498 0.996 0.469
0.502 0.004 0.969
0.795 0.591 0.504
0.205 0.409 0.004
```

Theoretical density = 7.87 g/cm³
Total magnetization = 2.0 μB/f.u.
SG = Cmc2_1, No. 36
Uncorrected energy = -8.70 eV/atom

=====

A plane-wave DFT calculation with PBE-GGA was carried out for an optimized crystal structure of Ti3Re.

```
Ti3Re
1.0
3.158 0.000 0.000
0.000 4.505 0.000
-1.579 -2.253 4.567
Ti Re
3 1
direct
0.274 0.690 0.547
0.726 0.143 0.453
0.500 0.417 0.000
0.000 0.917 0.000
```

Theoretical density = 8.43 g/cm³
Total magnetization = 0.0 μB/f.u.
SG = Immm, No. 71
Uncorrected energy = -9.28 eV/atom

=====

A plane-wave DFT calculation with PBE-GGA was carried out for an optimized crystal structure of Na2NbIr.

```
Na2NbIr
1.0
8.634 0.000 0.000
0.000 8.634 0.000
4.317 4.317 2.481
Nb Na Ir
2 4 2
direct
0.250 0.750 0.500
0.500 0.500 0.000
0.375 0.326 0.750
0.875 0.924 0.750
0.076 0.625 0.250
0.674 0.125 0.250
0.750 0.250 0.500
0.000 0.000 0.000
```

Theoretical density = 5.95 g/cm³
Total magnetization = 2.0 μB/f.u.
SG = I-42d, No. 122
Offset from the most stable computed form = 0 meV per atom
Uncorrected energy = -4.37 eV/atom

=====

A plane-wave DFT calculation with PBE-GGA was carried out for an optimized crystal structure of YThRh2.

```
YThRh2
1.0
-2.321 3.280 -0.354
-2.643 0.923 2.904
3.008 5.034 3.939
Th Y Rh
1 1 2
direct
0.500 0.500 0.500
0.000 0.000 0.000
0.752 0.752 0.743
0.248 0.248 0.257
```

Theoretical density = 9.31 g/cm³
Total magnetization = 0.0 μB/f.u.
SG = R-3m, No. 166
Offset from the most stable computed form = 130 meV per atom
Uncorrected energy = -7.92 eV/atom

=====

A plane-wave DFT calculation with PBE-GGA was carried out for an optimized crystal structure of CsPuZn2Cl8.

```
CsPuZn2Cl8
1.0
-3.048 3.150 -4.850
2.314 -0.374 -6.103
-6.198 -7.515 -5.391
Cl Cs Pu Zn
8 1 1 2
direct
0.281 0.948 0.158
0.052 0.387 0.842
0.816 0.816 0.551
0.719 0.052 0.842
0.184 0.184 0.449
0.387 0.719 0.842
0.613 0.281 0.158
0.948 0.613 0.158
0.500 0.500 0.500
0.000 0.000 0.000
0.254 0.254 0.238
0.746 0.746 0.762
```

Theoretical density = 3.39 g/cm³
Total magnetization = 5.0 μB/f.u.
SG = R-3, No. 148
Uncorrected energy = -4.25 eV/atom